[1]
Entry from Alexandria: Mn2BTe after structural relaxation (PBE-GGA).

```
Mn2BTe
1.0
0.0000 2.8932 2.8932
2.8932 0.0000 2.8932
2.8932 2.8932 0.0000
Mn B Te
2 1 1
direct
0.7500 0.7500 0.7500
0.2500 0.2500 0.2500
0.0000 0.0000 0.0000
0.5000 0.5000 0.5000
```

Results
- Relative energy among the computed polymorphs: 285 meV/atom
- Density of states at the Fermi level: 0.748 states/eV per atom
- Crystal system: cubic
- ρ: 8.51 Mg/m³
- Formation energy (no corrections): 68.33 kJ per mole of atoms
- Spin magnetization: 0.172 μB/atom
- Raw total energy: -6.331 eV/atom

***

[2]
Entry from Alexandria: MnB2Te after structural relaxation (PBE-GGA).

```
MnB2Te
1.0
-3.2148 -1.9488 1.6066
-0.5665 -0.0159 4.0489
-3.0741 2.1369 1.6424
B Te Mn
2 1 1
direct
0.7500 0.7500 0.7500
0.2500 0.2500 0.2500
0.5000 0.5000 0.5000
0.0000 0.0000 0.0000
```

Results
- Relative energy among the computed polymorphs: 683 meV/atom
- Density of states at the Fermi level: 0.905 states/eV per atom
- Crystal system: cubic
- ρ: 7.02 Mg/m³
- Formation energy (no corrections): 146.32 kJ per mole of atoms
- Spin magnetization: 0.344 μB/atom
- Raw total energy: -4.900 eV/atom

***

[3]
Entry from Alexandria: MnBTe2 after structural relaxation (PBE-GGA).

```
MnBTe2
1.0
0.0000 3.2370 3.2370
3.2370 0.0000 3.2370
3.2370 3.2370 0.0000
Te B Mn
2 1 1
direct
0.7500 0.7500 0.7500
0.2500 0.2500 0.2500
0.0000 0.0000 0.0000
0.5000 0.5000 0.5000
```

Results
- Relative energy among the computed polymorphs: 549 meV/atom
- Density of states at the Fermi level: 1.105 states/eV per atom
- Crystal system: cubic
- ρ: 7.86 Mg/m³
- Formation energy (no corrections): 112.02 kJ per mole of atoms
- Spin magnetization: 0.000 μB/atom
- Raw total energy: -4.372 eV/atom

***

[4]
Entry from Alexandria: Mn2B2Te after structural relaxation (PBE-GGA).

```
Mn2B2Te
1.0
-0.5992 5.5991 2.4149
-6.0511 -0.8454 0.4587
0.3810 -1.1849 2.8418
Te Mn B
2 4 4
direct
0.0000 0.0000 0.0000
0.5000 0.5000 0.0000
0.3467 0.1533 0.5000
0.1533 0.6533 0.5000
0.8467 0.3467 0.5000
0.6533 0.8467 0.5000
0.0980 0.4020 0.0000
0.9020 0.5980 0.0000
0.5980 0.0980 0.0000
0.4020 0.9020 0.0000
```

Results
- Relative energy among the computed polymorphs: 113 meV/atom
- Density of states at the Fermi level: 0.690 states/eV per atom
- Crystal system: tetragonal
- ρ: 7.39 Mg/m³
- Formation energy (no corrections): 49.00 kJ per mole of atoms
- Spin magnetization: 0.690 μB/atom
- Raw total energy: -6.459 eV/atom